PBE Pr3Sm4TmS8, optimized geometry; DOS(E_F) = 8.22 states/eV per cell; uncorrected formation energy = -1.999 eV per atom
1.0
4.0328 2.3283 6.5628
-4.0328 2.3283 6.5628
0.0000 -4.6566 6.5628
Pr Sm Tm S
3 4 1 8
Direct
0.0000 0.5000 0.5000
0.5000 0.0000 0.5000
0.5000 0.5000 0.0000
0.0000 0.0000 0.5000
0.0000 0.5000 0.0000
0.5000 0.0000 0.0000
0.5000 0.5000 0.5000
0.0000 0.0000 0.0000
0.2376 0.7565 0.7565
0.2435 0.2435 0.7624
0.2435 0.7624 0.2435
0.2470 0.2470 0.2470
0.7530 0.7530 0.7530
0.7565 0.2376 0.7565
0.7565 0.7565 0.2376
0.7624 0.2435 0.2435